<w>
Re2TeP: optimized geometry, GGA-PBEsol.

Structure (CIF):
```
data_Re2TeP
_chemical_formula_sum 'Re2 Te1 P1'
_cell_length_a 3.0812
_cell_length_b 4.1521
_cell_length_c 5.0696
_cell_angle_alpha 90.00
_cell_angle_beta 90.00
_cell_angle_gamma 90.00
_space_group_name_H-M_alt 'P m m m'
_space_group_IT_number 47
loop_
_space_group_symop_operation_xyz
'x,y,z'
'-x,-y,-z'
'-x,-y,z'
'x,y,-z'
'x,-y,-z'
'-x,y,z'
'-x,y,-z'
'x,-y,z'
loop_
_atom_site_label
_atom_site_type_symbol
_atom_site_fract_x
_atom_site_fract_y
_atom_site_fract_z
_atom_site_occupancy
Re1 Re 0.0000 0.0000 0.0000 1
Re2 Re 0.5000 0.0000 0.5000 1
Te1 Te 0.0000 0.5000 0.5000 1
P1 P 0.5000 0.5000 0.0000 1
```



<x>
Re2TeP: optimized geometry, GGA-PBEsol.

Structure (CIF):
```
data_Re2TeP
_chemical_formula_sum 'Re2 Te1 P1'
_cell_length_a 3.0834
_cell_length_b 3.0834
_cell_length_c 6.3841
_cell_angle_alpha 90.00
_cell_angle_beta 90.00
_cell_angle_gamma 90.00
_space_group_name_H-M_alt 'P 4/m m m'
_space_group_IT_number 123
_space_group_name_Hall '-P 4 2'
loop_
_atom_site_label
_atom_site_type_symbol
_atom_site_fract_x
_atom_site_fract_y
_atom_site_fract_z
_atom_site_occupancy
Re1 Re 0.0000 0.0000 0.2131 1
Te1 Te 0.5000 0.5000 0.5000 1
P1 P 0.5000 0.5000 0.0000 1
```



<y>
Re2TeP: optimized geometry, GGA-PBEsol.

Structure (CIF):
```
data_Re2TeP
_chemical_formula_sum 'Re2 Te1 P1'
_cell_length_a 3.0971
_cell_length_b 4.4715
_cell_length_c 4.7106
_cell_angle_alpha 90.00
_cell_angle_beta 90.00
_cell_angle_gamma 90.00
_space_group_name_H-M_alt 'P m m 2'
_space_group_IT_number 25
loop_
_space_group_symop_operation_xyz
'x,y,z'
'-x,-y,z'
'-x,y,z'
'x,-y,z'
loop_
_atom_site_label
_atom_site_type_symbol
_atom_site_fract_x
_atom_site_fract_y
_atom_site_fract_z
_atom_site_occupancy
Re1 Re 0.0000 0.0000 0.0000 1
Re2 Re 0.5000 0.5000 0.1942 1
Te1 Te 0.0000 0.5000 0.6879 1
P1 P 0.5000 0.0000 0.3819 1
```



Most stable to least stable, the ends of the list are <y> and <w>.



<w>
Re2TeP: optimized geometry, GGA-PBEsol.

Structure (CIF):
```
data_Re2TeP
_chemical_formula_sum 'Re4 Te2 P2'
_cell_length_a 3.1265
_cell_length_b 3.9252
_cell_length_c 10.4107
_cell_angle_alpha 90.00
_cell_angle_beta 90.00
_cell_angle_gamma 90.00
_space_group_name_H-M_alt 'I m m 2'
_space_group_IT_number 44
loop_
_space_group_symop_operation_xyz
'x,y,z'
'-x,-y,z'
'-x,y,z'
'x,-y,z'
'x+1/2,y+1/2,z+1/2'
'-x+1/2,-y+1/2,z+1/2'
'-x+1/2,y+1/2,z+1/2'
'x+1/2,-y+1/2,z+1/2'
loop_
_atom_site_label
_atom_site_type_symbol
_atom_site_fract_x
_atom_site_fract_y
_atom_site_fract_z
_atom_site_occupancy
Re1 Re 0.0000 0.0000 0.0000 1
Re2 Re 0.0000 0.5000 0.2223 1
Te1 Te 0.0000 0.5000 0.8121 1
P1 P 0.0000 0.0000 0.5535 1
```



<x>
Re2TeP: optimized geometry, GGA-PBEsol.

Structure (CIF):
```
data_Re2TeP
_chemical_formula_sum 'Re4 Te2 P2'
_cell_length_a 7.4931
_cell_length_b 3.0737
_cell_length_c 5.9414
_cell_angle_alpha 90.00
_cell_angle_beta 102.34
_cell_angle_gamma 90.00
_space_group_name_H-M_alt 'C 1 2/m 1'
_space_group_IT_number 12
loop_
_space_group_symop_operation_xyz
'x,y,z'
'-x,-y,-z'
'-x,y,-z'
'x,-y,z'
'x+1/2,y+1/2,z'
'-x+1/2,-y+1/2,-z'
'-x+1/2,y+1/2,-z'
'x+1/2,-y+1/2,z'
loop_
_atom_site_label
_atom_site_type_symbol
_atom_site_fract_x
_atom_site_fract_y
_atom_site_fract_z
_atom_site_occupancy
Re1 Re 0.2322 0.0000 0.1778 1
Te1 Te 0.0000 0.0000 0.5000 1
P1 P 0.0000 0.5000 0.0000 1
```



Most stable to least stable, the ends of the list are <x> and <w>.